(1)
Below is crystalline CrReSi2 at its relaxed geometry, with properties calculated at the PBE level.

Magnetization   0.00 μB per formula unit
VASP energy   -8.00 eV per atom
ΔE_f (raw)   0.226 eV/atom
Space-group type   Cmm2 (35)

Unit cell a=2.653 b=2.653 c=8.057 alpha=90.00 beta=90.00 gamma=107.88
Atoms (fractional coordinates):
1 Cr 0.000 0.000 0.492
2 Re 0.500 0.500 0.744
3 Si 0.000 0.000 0.999
4 Si 0.500 0.500 0.265



(2)
Below is crystalline CrReSi2 at its relaxed geometry, with properties calculated at the PBE level.

Magnetization   0.99 μB per formula unit
VASP energy   -8.16 eV per atom
ΔE_f (raw)   0.074 eV/atom
Space-group type   C2/m (12)

Unit cell a=4.960 b=4.735 c=2.793 alpha=75.77 beta=84.63 gamma=119.75
Atoms (fractional coordinates):
1 Cr 0.000 0.500 0.500
2 Re 0.500 0.500 0.000
3 Si 0.000 0.000 0.000
4 Si 0.500 0.000 0.500



- Among the records above, which one has the lowest VASP energy?
  number 2



- What is the magnetization in the second record?
  0.99 μB per formula unit



- What is the formula in the second record?
  CrReSi2